# 1
TePIrN2 after structural relaxation, computed with PBE.

Lattice parameters (Å, degrees): 3.7694 3.7694 6.3325 90.00 90.00 90.00
Element x y z (fractional)
Te1 0.0000 0.0000 0.0000
P1 0.5000 0.5000 0.0000
Ir1 0.0000 0.0000 0.5000
N1 0.0000 0.5000 0.5000
N2 0.5000 0.0000 0.5000

Summary:
- Theoretical density: 6.99 Mg/m³
- Space-group type: P4/mmm
- Excess energy over the best structure of this formula in the dataset: 0.000 eV/atom
- Formation energy without anion corrections: 0.959 eV per atom
- Calculated volume: 90 Å³ per cell

# 2
TePIrN2 after structural relaxation, computed with PBE.

Lattice parameters (Å, degrees): 3.5205 3.5205 8.1529 90.00 90.00 90.00
Element x y z (fractional)
Te1 0.0000 0.0000 0.0000
P1 0.0000 0.0000 0.5000
Ir1 0.5000 0.5000 0.0000
N1 0.0000 0.5000 0.5000
N2 0.5000 0.0000 0.5000

Summary:
- Theoretical density: 6.23 Mg/m³
- Space-group type: P4/mmm
- Excess energy over the best structure of this formula in the dataset: 0.283 eV/atom
- Formation energy without anion corrections: 1.241 eV per atom
- Calculated volume: 101 Å³ per cell

# 3
ThPIrN after structural relaxation, computed with PBE.

Lattice parameters (Å, degrees): 4.0367 4.0367 8.5000 90.00 90.00 90.00
Element x y z (fractional)
Th1 0.2500 0.2500 0.1384
Th2 0.7500 0.7500 0.8616
P1 0.2500 0.2500 0.6513
P2 0.7500 0.7500 0.3487
Ir1 0.2500 0.7500 0.5000
Ir2 0.7500 0.2500 0.5000
N1 0.2500 0.7500 0.0000
N2 0.7500 0.2500 0.0000

Summary:
- Theoretical density: 11.25 Mg/m³
- Space-group type: P4/nmm
- Formation energy without anion corrections: -1.267 eV per atom
- Calculated volume: 139 Å³ per cell

# 4
Pa6IrN12 after structural relaxation, computed with PBE.

Lattice parameters (Å, degrees): 6.5370 6.5370 6.5370 98.69 98.69 98.69
Element x y z (fractional)
Pa1 0.1003 0.6351 0.7917
Pa2 0.2083 0.8997 0.3649
Pa3 0.3649 0.2083 0.8997
Pa4 0.6351 0.7917 0.1003
Pa5 0.7917 0.1003 0.6351
Pa6 0.8997 0.3649 0.2083
Ir1 0.5000 0.5000 0.5000
N1 0.0634 0.3249 0.9061
N2 0.0939 0.9366 0.6751
N3 0.1929 0.5534 0.4354
N4 0.3249 0.9061 0.0634
N5 0.4354 0.1929 0.5534
N6 0.4466 0.5646 0.8071
N7 0.5534 0.4354 0.1929
N8 0.5646 0.8071 0.4466
N9 0.6751 0.0939 0.9366
N10 0.8071 0.4466 0.5646
N11 0.9061 0.0634 0.3249
N12 0.9366 0.6751 0.0939

Summary:
- Theoretical density: 10.80 Mg/m³
- Space-group type: R-3
- Formation energy without anion corrections: -1.270 eV per atom
- Calculated volume: 269 Å³ per cell

# 5
Pa2IrN after structural relaxation, computed with PBE.

Lattice parameters (Å, degrees): 3.0167 3.0167 7.3102 90.00 90.00 90.00
Element x y z (fractional)
Pa1 0.0000 0.0000 0.2116
Pa2 0.0000 0.0000 0.7884
Ir1 0.5000 0.5000 0.5000
N1 0.5000 0.5000 0.0000

Summary:
- Theoretical density: 16.68 Mg/m³
- Space-group type: P4/mmm
- Excess energy over the best structure of this formula in the dataset: 0.269 eV/atom
- Formation energy without anion corrections: -0.705 eV per atom
- Calculated volume: 67 Å³ per cell

# 6
Pa3Ir5N12 after structural relaxation, computed with PBE.

Lattice parameters (Å, degrees): 10.9673 10.9673 10.9673 109.47 109.47 109.47
Element x y z (fractional)
Pa1 0.1250 0.2500 0.3750
Pa2 0.1250 0.3750 0.7500
Pa3 0.2500 0.3750 0.1250
Pa4 0.2500 0.8750 0.6250
Pa5 0.3750 0.1250 0.2500
Pa6 0.3750 0.7500 0.1250
Pa7 0.6250 0.2500 0.8750
Pa8 0.6250 0.8750 0.7500
Pa9 0.7500 0.1250 0.3750
Pa10 0.7500 0.6250 0.8750
Pa11 0.8750 0.6250 0.2500
Pa12 0.8750 0.7500 0.6250
Ir1 0.0000 0.0000 0.0000
Ir2 0.0000 0.0000 0.5000
Ir3 0.0000 0.5000 0.0000
Ir4 0.0000 0.5000 0.5000
Ir5 0.1250 0.7500 0.8750
Ir6 0.1250 0.8750 0.2500
Ir7 0.2500 0.1250 0.8750
Ir8 0.2500 0.6250 0.3750
Ir9 0.3750 0.2500 0.6250
Ir10 0.3750 0.6250 0.7500
Ir11 0.5000 0.0000 0.0000
Ir12 0.5000 0.0000 0.5000
Ir13 0.5000 0.5000 0.0000
Ir14 0.5000 0.5000 0.5000
Ir15 0.6250 0.3750 0.2500
Ir16 0.6250 0.7500 0.3750
Ir17 0.7500 0.3750 0.6250
Ir18 0.7500 0.8750 0.1250
Ir19 0.8750 0.1250 0.7500
Ir20 0.8750 0.2500 0.1250
N1 0.0335 0.2091 0.1269
N2 0.0335 0.3244 0.9066
N3 0.0821 0.7091 0.6756
N4 0.0821 0.8731 0.4066
N5 0.0934 0.6269 0.4179
N6 0.0934 0.9665 0.6756
N7 0.1269 0.0335 0.2091
N8 0.1269 0.5934 0.9179
N9 0.1756 0.2091 0.5821
N10 0.1756 0.4665 0.5934
N11 0.2091 0.1269 0.0335
N12 0.2091 0.5821 0.1756
N13 0.2909 0.3244 0.9179
N14 0.2909 0.4665 0.3731
N15 0.3244 0.9066 0.0335
N16 0.3244 0.9179 0.2909
N17 0.3731 0.2909 0.4665
N18 0.3731 0.5821 0.9066
N19 0.4066 0.0821 0.8731
N20 0.4066 0.8244 0.5335
N21 0.4179 0.0934 0.6269
N22 0.4179 0.8244 0.7909
N23 0.4665 0.3731 0.2909
N24 0.4665 0.5934 0.1756
N25 0.5335 0.4066 0.8244
N26 0.5335 0.6269 0.7091
N27 0.5821 0.1756 0.2091
N28 0.5821 0.9066 0.3731
N29 0.5934 0.1756 0.4665
N30 0.5934 0.9179 0.1269
N31 0.6269 0.4179 0.0934
N32 0.6269 0.7091 0.5335
N33 0.6756 0.0821 0.7091
N34 0.6756 0.0934 0.9665
N35 0.7091 0.5335 0.6269
N36 0.7091 0.6756 0.0821
N37 0.7909 0.4179 0.8244
N38 0.7909 0.8731 0.9665
N39 0.8244 0.5335 0.4066
N40 0.8244 0.7909 0.4179
N41 0.8731 0.4066 0.0821
N42 0.8731 0.9665 0.7909
N43 0.9066 0.0335 0.3244
N44 0.9066 0.3731 0.5821
N45 0.9179 0.1269 0.5934
N46 0.9179 0.2909 0.3244
N47 0.9665 0.6756 0.0934
N48 0.9665 0.7909 0.8731

Summary:
- Theoretical density: 11.92 Mg/m³
- Space-group type: Ia-3d
- Formation energy without anion corrections: -0.177 eV per atom
- Calculated volume: 1016 Å³ per cell

# 7
Pa2IrN after structural relaxation, computed with PBE.

Lattice parameters (Å, degrees): 7.0702 7.0702 7.0702 29.24 29.24 29.24
Element x y z (fractional)
Pa1 0.2365 0.2365 0.2365
Pa2 0.7635 0.7635 0.7635
Ir1 0.0000 0.0000 0.0000
N1 0.5000 0.5000 0.5000

Summary:
- Theoretical density: 14.88 Mg/m³
- Space-group type: R-3m
- Excess energy over the best structure of this formula in the dataset: 0.000 eV/atom
- Formation energy without anion corrections: -0.974 eV per atom
- Calculated volume: 75 Å³ per cell

# 8
PmPaIrN4 after structural relaxation, computed with PBE.

Lattice parameters (Å, degrees): 6.0011 5.1465 6.9771 90.00 110.52 90.00
Element x y z (fractional)
Pm1 0.1871 0.2500 0.4438
Pm2 0.8129 0.7500 0.5562
Pa1 0.2653 0.2500 0.9565
Pa2 0.7347 0.7500 0.0435
Ir1 0.2761 0.7500 0.2070
Ir2 0.7239 0.2500 0.7930
N1 0.0510 0.7500 0.3570
N2 0.0552 0.7500 0.9213
N3 0.4644 0.0086 0.7719
N4 0.4644 0.4914 0.7719
N5 0.5356 0.5086 0.2281
N6 0.5356 0.9914 0.2281
N7 0.9448 0.2500 0.0787
N8 0.9490 0.2500 0.6430

Summary:
- Theoretical density: 10.27 Mg/m³
- Space-group type: P2_1/m
- Formation energy without anion corrections: -0.625 eV per atom
- Calculated volume: 202 Å³ per cell

# 9
PaIrPtN after structural relaxation, computed with PBE.

Lattice parameters (Å, degrees): 3.9058 3.9058 8.6725 90.00 90.00 90.00
Element x y z (fractional)
Pa1 0.2500 0.2500 0.1392
Pa2 0.7500 0.7500 0.8608
Ir1 0.2500 0.7500 0.5000
Ir2 0.7500 0.2500 0.5000
Pt1 0.2500 0.2500 0.7086
Pt2 0.7500 0.7500 0.2914
N1 0.2500 0.7500 0.0000
N2 0.7500 0.2500 0.0000

Summary:
- Theoretical density: 15.87 Mg/m³
- Space-group type: P4/nmm
- Formation energy without anion corrections: -0.743 eV per atom
- Calculated volume: 132 Å³ per cell

# 10
PuPa2IrN4 after structural relaxation, computed with PBE.

Lattice parameters (Å, degrees): 6.0864 6.0864 11.7222 90.00 90.00 146.93
Element x y z (fractional)
Pu1 0.1114 0.8886 0.7500
Pu2 0.8886 0.1114 0.2500
Pa1 0.3700 0.6300 0.5585
Pa2 0.3700 0.6300 0.9415
Pa3 0.6300 0.3700 0.0585
Pa4 0.6300 0.3700 0.4415
Ir1 0.1564 0.8436 0.2500
Ir2 0.8436 0.1564 0.7500
N1 0.0000 0.0000 0.0000
N2 0.0000 0.0000 0.5000
N3 0.2752 0.7248 0.1091
N4 0.2752 0.7248 0.3909
N5 0.4609 0.5391 0.7500
N6 0.5391 0.4609 0.2500
N7 0.7248 0.2752 0.6091
N8 0.7248 0.2752 0.8909

Summary:
- Theoretical density: 13.38 Mg/m³
- Space-group type: Cmcm
- Formation energy without anion corrections: -1.079 eV per atom
- Calculated volume: 237 Å³ per cell

# 11
PuPa2IrN5 after structural relaxation, computed with PBE.

Lattice parameters (Å, degrees): 7.4898 7.4898 7.4898 128.23 128.23 76.26
Element x y z (fractional)
Pu1 0.2500 0.2500 0.0000
Pu2 0.7500 0.7500 0.0000
Pa1 0.1782 0.6782 0.8565
Pa2 0.3218 0.1782 0.5000
Pa3 0.6782 0.8218 0.5000
Pa4 0.8218 0.3218 0.1435
Ir1 0.2500 0.7500 0.5000
Ir2 0.7500 0.2500 0.5000
N1 0.0000 0.0000 0.0000
N2 0.0191 0.2281 0.5000
N3 0.2281 0.7281 0.2090
N4 0.2719 0.4809 0.5000
N5 0.4809 0.9809 0.2090
N6 0.5000 0.5000 0.0000
N7 0.5191 0.0191 0.7910
N8 0.7281 0.5191 0.5000
N9 0.7719 0.2719 0.7910
N10 0.9809 0.7719 0.5000

Summary:
- Theoretical density: 12.76 Mg/m³
- Space-group type: I4/mcm
- Formation energy without anion corrections: -0.943 eV per atom
- Calculated volume: 252 Å³ per cell

# 12
Pa2IrS2N2 after structural relaxation, computed with PBE.

Lattice parameters (Å, degrees): 3.8310 3.8310 11.3201 90.00 90.00 120.00
Element x y z (fractional)
Pa1 0.3333 0.6667 0.3178
Pa2 0.6667 0.3333 0.6822
Ir1 0.0000 0.0000 0.5000
S1 0.0000 0.0000 0.1768
S2 0.0000 0.0000 0.8232
N1 0.3333 0.6667 0.6149
N2 0.6667 0.3333 0.3851

Summary:
- Theoretical density: 8.61 Mg/m³
- Space-group type: P-3m1
- Formation energy without anion corrections: -0.907 eV per atom
- Calculated volume: 144 Å³ per cell

# 13
Sc2PaIrN4 after structural relaxation, computed with PBE.

Lattice parameters (Å, degrees): 5.9047 5.9047 10.9973 90.00 90.00 147.74
Element x y z (fractional)
Sc1 0.1239 0.8761 0.5479
Sc2 0.1239 0.8761 0.9521
Sc3 0.8761 0.1239 0.0479
Sc4 0.8761 0.1239 0.4521
Pa1 0.3911 0.6089 0.7500
Pa2 0.6089 0.3911 0.2500
Ir1 0.3484 0.6516 0.2500
Ir2 0.6516 0.3484 0.7500
N1 0.0420 0.9580 0.7500
N2 0.2088 0.7912 0.1261
N3 0.2088 0.7912 0.3739
N4 0.5000 0.5000 0.0000
N5 0.5000 0.5000 0.5000
N6 0.7912 0.2088 0.6261
N7 0.7912 0.2088 0.8739
N8 0.9580 0.0420 0.2500

Summary:
- Theoretical density: 9.24 Mg/m³
- Space-group type: Cmcm
- Formation energy without anion corrections: -1.122 eV per atom
- Calculated volume: 205 Å³ per cell

# 14
ScPa2IrN5 after structural relaxation, computed with PBE.

Lattice parameters (Å, degrees): 6.7435 6.7435 10.2836 90.00 90.00 151.51
Element x y z (fractional)
Sc1 0.2016 0.7984 0.5000
Sc2 0.7984 0.2016 0.0000
Pa1 0.1061 0.8939 0.1743
Pa2 0.1483 0.8517 0.7952
Pa3 0.8517 0.1483 0.2952
Pa4 0.8939 0.1061 0.6743
Ir1 0.4730 0.5270 0.9456
Ir2 0.5270 0.4730 0.4456
N1 0.0510 0.9490 0.5710
N2 0.2773 0.7227 0.1603
N3 0.3219 0.6781 0.8562
N4 0.3671 0.6329 0.4887
N5 0.4844 0.5156 0.2606
N6 0.5156 0.4844 0.7606
N7 0.6329 0.3671 0.9887
N8 0.6781 0.3219 0.3562
N9 0.7227 0.2773 0.6603
N10 0.9490 0.0510 0.0710

Summary:
- Theoretical density: 11.45 Mg/m³
- Space-group type: Cmc2_1
- Formation energy without anion corrections: -1.173 eV per atom
- Calculated volume: 223 Å³ per cell

# 15
Pa2IrSe2N2 after structural relaxation, computed with PBE.

Lattice parameters (Å, degrees): 4.3581 4.3581 8.8303 90.00 90.00 120.00
Element x y z (fractional)
Pa1 0.3333 0.6667 0.3420
Pa2 0.6667 0.3333 0.6580
Ir1 0.0000 0.0000 0.5000
Se1 0.0000 0.0000 0.1601
Se2 0.0000 0.0000 0.8399
N1 0.3333 0.6667 0.5880
N2 0.6667 0.3333 0.4120

Summary:
- Theoretical density: 9.61 Mg/m³
- Space-group type: P-3m1
- Formation energy without anion corrections: -0.730 eV per atom
- Calculated volume: 145 Å³ per cell

# 16
SmPaIrN4 after structural relaxation, computed with PBE.

Lattice parameters (Å, degrees): 6.6464 6.6464 6.6464 145.77 145.77 49.18
Element x y z (fractional)
Sm1 0.0000 0.0000 0.0000
Pa1 0.7148 0.7148 0.0000
Ir1 0.3579 0.3579 0.0000
N1 0.1828 0.1828 0.0000
N2 0.3366 0.8366 0.5000
N3 0.5370 0.5370 0.0000
N4 0.8366 0.3366 0.5000

Summary:
- Theoretical density: 11.31 Mg/m³
- Space-group type: I4mm
- Formation energy without anion corrections: -0.749 eV per atom
- Calculated volume: 92 Å³ per cell

# 17
SrPa2IrN5 after structural relaxation, computed with PBE.

Lattice parameters (Å, degrees): 7.5795 7.5795 7.5795 128.28 128.28 76.17
Element x y z (fractional)
Sr1 0.2500 0.2500 0.0000
Sr2 0.7500 0.7500 0.0000
Pa1 0.1824 0.6824 0.8648
Pa2 0.3176 0.1824 0.5000
Pa3 0.6824 0.8176 0.5000
Pa4 0.8176 0.3176 0.1352
Ir1 0.2500 0.7500 0.5000
Ir2 0.7500 0.2500 0.5000
N1 0.0000 0.0000 0.0000
N2 0.0127 0.2436 0.5000
N3 0.2436 0.7436 0.2309
N4 0.2564 0.4873 0.5000
N5 0.4873 0.9873 0.2309
N6 0.5000 0.5000 0.0000
N7 0.5127 0.0127 0.7691
N8 0.7436 0.5127 0.5000
N9 0.7564 0.2564 0.7691
N10 0.9873 0.7564 0.5000

Summary:
- Theoretical density: 10.34 Mg/m³
- Space-group type: I4/mcm
- Formation energy without anion corrections: -1.026 eV per atom
- Calculated volume: 261 Å³ per cell

# 18
Tb3Pa3IrN8 after structural relaxation, computed with PBE.

Lattice parameters (Å, degrees): 6.8731 6.8731 6.8731 59.34 59.34 59.34
Element x y z (fractional)
Tb1 0.0000 0.5000 0.5000
Tb2 0.5000 0.0000 0.5000
Tb3 0.5000 0.5000 0.0000
Pa1 0.0000 0.0000 0.5000
Pa2 0.0000 0.5000 0.0000
Pa3 0.5000 0.0000 0.0000
Ir1 0.5000 0.5000 0.5000
N1 0.2480 0.2480 0.2480
N2 0.2521 0.7335 0.7335
N3 0.2665 0.2665 0.7479
N4 0.2665 0.7479 0.2665
N5 0.7335 0.2521 0.7335
N6 0.7335 0.7335 0.2521
N7 0.7479 0.2665 0.2665
N8 0.7520 0.7520 0.7520

Summary:
- Theoretical density: 10.82 Mg/m³
- Space-group type: R-3m
- Formation energy without anion corrections: -1.236 eV per atom
- Calculated volume: 226 Å³ per cell